## TcGeC3 (GGA-PBE)

Data for a relaxed TcGeC3 crystal.

Lattice parameters (Å, degrees): 3.858 3.858 3.858 90.00 90.00 90.00
Positions (direct):
C: 0.000 0.500 0.000
C: 0.000 0.000 0.500
C: 0.500 0.000 0.000
Ge: 0.000 0.000 0.000
Tc: 0.500 0.500 0.500

Output
ΔE to the lowest computed polymorph = 857 meV/atom
DOS(E_F) = 6.26 states/eV/cell
energy relative to the elements = 2.800 eV/atom